Arrangement P

{
  "formula": "NbRe2I",
  "functional": "PBE",
  "state": "relaxed",
  "n_ef_per_ev_cell": 11.7,
  "sg": "I-42d",
  "cell": [[3.940, 0.000, 0.000], [0.000, 3.940, 0.000], [1.970, 1.970, 10.266]],
  "species": ["I", "I", "Re", "Re", "Re", "Re", "Nb", "Nb"],
  "frac_coords": [[0.000, 0.000, 0.000], [0.750, 0.250, 0.500], [0.560, 0.125, 0.250], [0.190, 0.625, 0.250], [0.375, 0.440, 0.750], [0.875, 0.810, 0.750], [0.500, 0.500, 0.000], [0.250, 0.750, 0.500]]
}



Arrangement Q

{
  "formula": "NbRe2I",
  "functional": "PBE",
  "state": "relaxed",
  "n_ef_per_ev_cell": 1.4,
  "sg": "Fm-3m",
  "cell": [[0.000, 3.273, 3.273], [3.273, 0.000, 3.273], [3.273, 3.273, 0.000]],
  "species": ["I", "Re", "Re", "Nb"],
  "frac_coords": [[0.500, 0.500, 0.500], [0.250, 0.250, 0.250], [0.750, 0.750, 0.750], [0.000, 0.000, 0.000]]
}



Most stable structure: arrangement Q



Arrangement P

{
  "formula": "NbRe2I2",
  "functional": "PBE",
  "state": "relaxed",
  "n_ef_per_ev_cell": 10.3,
  "sg": "P4/mbm",
  "cell": [[-3.760, -4.270, 3.867], [3.549, -5.354, -2.461], [2.950, 0.423, 3.334]],
  "species": ["I", "I", "I", "I", "Re", "Re", "Re", "Re", "Nb", "Nb"],
  "frac_coords": [[0.192, 0.692, 0.500], [0.692, 0.808, 0.500], [0.808, 0.308, 0.500], [0.308, 0.192, 0.500], [0.374, 0.874, 0.000], [0.874, 0.626, 0.000], [0.626, 0.126, 0.000], [0.126, 0.374, 0.000], [0.000, 0.000, 0.000], [0.500, 0.500, 0.000]]
}



Arrangement Q

{
  "formula": "NbRe2I2",
  "functional": "PBE",
  "state": "relaxed",
  "n_ef_per_ev_cell": 2.7,
  "sg": "I4/mmm",
  "cell": [[4.332, 0.000, 0.000], [0.000, 4.332, 0.000], [2.166, 2.166, 5.906]],
  "species": ["I", "I", "Re", "Re", "Nb"],
  "frac_coords": [[0.750, 0.250, 0.500], [0.250, 0.750, 0.500], [0.401, 0.401, 0.198], [0.599, 0.599, 0.802], [0.000, 0.000, 0.000]]
}



Most stable structure: arrangement P



Arrangement P

{
  "formula": "Nb3RhI",
  "functional": "PBE",
  "state": "relaxed",
  "n_ef_per_ev_cell": 9.3,
  "sg": "Pm-3m",
  "cell": [[-4.541, -0.503, 1.901], [1.967, -1.178, 4.385], [0.007, 4.780, 1.280]],
  "species": ["I", "Nb", "Nb", "Nb", "Rh"],
  "frac_coords": [[0.000, 0.000, 0.000], [0.000, 0.500, 0.000], [0.000, 0.000, 0.500], [0.500, 0.000, 0.000], [0.500, 0.500, 0.500]]
}



Arrangement Q

{
  "formula": "Nb3RhI",
  "functional": "PBE",
  "state": "relaxed",
  "n_ef_per_ev_cell": 8.3,
  "sg": "Pm-3m",
  "cell": [[-4.734, 0.603, 1.176], [-0.838, -4.751, -0.938], [1.021, -1.104, 4.679]],
  "species": ["I", "Nb", "Nb", "Nb", "Rh"],
  "frac_coords": [[0.500, 0.500, 0.500], [0.000, 0.500, 0.000], [0.000, 0.000, 0.500], [0.500, 0.000, 0.000], [0.000, 0.000, 0.000]]
}



Most stable structure: arrangement Q



Arrangement P

{
  "formula": "NbSbRhI2",
  "functional": "PBE",
  "state": "relaxed",
  "n_ef_per_ev_cell": 4.8,
  "sg": "P4/mmm",
  "cell": [[-2.857, 4.257, -1.703], [1.619, -0.941, -5.068], [-4.015, -2.986, -0.728]],
  "species": ["I", "I", "Sb", "Nb", "Rh"],
  "frac_coords": [[0.000, 0.500, 0.000], [0.500, 0.000, 0.000], [0.000, 0.000, 0.500], [0.500, 0.500, 0.500], [0.000, 0.000, 0.000]]
}



Arrangement Q

{
  "formula": "NbSbRhI2",
  "functional": "PBE",
  "state": "relaxed",
  "n_ef_per_ev_cell": 12.7,
  "sg": "P4/mmm",
  "cell": [[-0.190, -3.904, 3.757], [5.370, -0.634, -0.388], [0.724, 3.735, 3.917]],
  "species": ["I", "I", "Sb", "Nb", "Rh"],
  "frac_coords": [[0.000, 0.500, 0.000], [0.500, 0.000, 0.000], [0.000, 0.000, 0.500], [0.000, 0.000, 0.000], [0.500, 0.500, 0.500]]
}



Most stable structure: arrangement P



Arrangement P

{
  "formula": "NbRu3I",
  "functional": "PBE",
  "state": "relaxed",
  "n_ef_per_ev_cell": 7.7,
  "sg": "Pm-3m",
  "cell": [[-1.544, -4.498, -0.783], [-0.364, -0.703, 4.754], [-4.551, 1.582, -0.114]],
  "species": ["I", "Ru", "Ru", "Ru", "Nb"],
  "frac_coords": [[0.500, 0.500, 0.500], [0.000, 0.500, 0.000], [0.000, 0.000, 0.500], [0.500, 0.000, 0.000], [0.000, 0.000, 0.000]]
}



Arrangement Q

{
  "formula": "NbRu3I",
  "functional": "PBE",
  "state": "relaxed",
  "n_ef_per_ev_cell": 6.5,
  "sg": "Pm-3m",
  "cell": [[4.722, 0.000, 0.000], [0.000, 4.722, 0.000], [0.000, 0.000, 4.722]],
  "species": ["I", "Ru", "Ru", "Ru", "Nb"],
  "frac_coords": [[0.000, 0.000, 0.000], [0.000, 0.500, 0.000], [0.000, 0.000, 0.500], [0.500, 0.000, 0.000], [0.500, 0.500, 0.500]]
}



Most stable structure: arrangement P



Arrangement P

{
  "formula": "NbRu2I",
  "functional": "PBE",
  "state": "relaxed",
  "n_ef_per_ev_cell": 6.5,
  "sg": "Fm-3m",
  "cell": [[4.559, 0.460, 0.651], [1.614, 1.555, 4.049], [2.231, -2.874, 2.860]],
  "species": ["I", "Ru", "Ru", "Nb"],
  "frac_coords": [[0.500, 0.500, 0.500], [0.250, 0.250, 0.250], [0.750, 0.750, 0.750], [0.000, 0.000, 0.000]]
}



Arrangement Q

{
  "formula": "NbRu2I",
  "functional": "PBE",
  "state": "relaxed",
  "n_ef_per_ev_cell": 4.8,
  "sg": "I-42d",
  "cell": [[5.695, 0.000, 0.000], [0.000, 5.695, 0.000], [2.848, 2.848, 6.045]],
  "species": ["I", "I", "Ru", "Ru", "Ru", "Ru", "Nb", "Nb"],
  "frac_coords": [[0.000, 0.000, 0.000], [0.750, 0.250, 0.500], [0.605, 0.125, 0.250], [0.145, 0.625, 0.250], [0.375, 0.395, 0.750], [0.875, 0.855, 0.750], [0.500, 0.500, 0.000], [0.250, 0.750, 0.500]]
}



Most stable structure: arrangement P



Arrangement P

{
  "formula": "Nb3RuI",
  "functional": "PBE",
  "state": "relaxed",
  "n_ef_per_ev_cell": 9.5,
  "sg": "Pm-3m",
  "cell": [[-3.998, -0.574, 2.775], [-1.397, -3.776, -2.793], [2.466, -3.070, 2.917]],
  "species": ["I", "Ru", "Nb", "Nb", "Nb"],
  "frac_coords": [[0.500, 0.500, 0.500], [0.000, 0.000, 0.000], [0.000, 0.500, 0.000], [0.000, 0.000, 0.500], [0.500, 0.000, 0.000]]
}



Arrangement Q

{
  "formula": "Nb3RuI",
  "functional": "PBE",
  "state": "relaxed",
  "n_ef_per_ev_cell": 10.6,
  "sg": "Pm-3m",
  "cell": [[-2.364, 1.261, -4.133], [-0.745, -4.760, -1.026], [-4.256, 0.132, 2.475]],
  "species": ["I", "Ru", "Nb", "Nb", "Nb"],
  "frac_coords": [[0.000, 0.000, 0.000], [0.500, 0.500, 0.500], [0.000, 0.500, 0.000], [0.000, 0.000, 0.500], [0.500, 0.000, 0.000]]
}



Most stable structure: arrangement P



Arrangement P

{
  "formula": "NbS2I",
  "functional": "PBE",
  "state": "relaxed",
  "n_ef_per_ev_cell": 6.0,
  "sg": "R-3m",
  "cell": [[1.979, 0.000, 9.473], [-0.990, 1.714, 9.473], [-0.990, -1.714, 9.473]],
  "species": ["I", "Nb", "S", "S"],
  "frac_coords": [[0.500, 0.500, 0.500], [0.000, 0.000, 0.000], [0.920, 0.920, 0.920], [0.080, 0.080, 0.080]]
}



Arrangement Q

{
  "formula": "NbS2I",
  "functional": "PBE",
  "state": "relaxed",
  "n_ef_per_ev_cell": 2.9,
  "sg": "R-3m",
  "cell": [[3.172, -11.464, 1.233], [6.046, -10.316, -0.146], [5.564, -10.090, 3.200]],
  "species": ["I", "Nb", "S", "S"],
  "frac_coords": [[0.000, 0.000, 0.000], [0.500, 0.500, 0.500], [0.877, 0.877, 0.877], [0.123, 0.123, 0.123]]
}



Arrangement R

{
  "formula": "NbS2I",
  "functional": "PBE",
  "state": "relaxed",
  "n_ef_per_ev_cell": 8.5,
  "sg": "I-42d",
  "cell": [[-1.046, 2.816, 6.350], [-1.021, -6.414, 2.676], [3.950, -2.180, 5.503]],
  "species": ["I", "I", "Nb", "Nb", "S", "S", "S", "S"],
  "frac_coords": [[0.000, 0.000, 0.000], [0.750, 0.250, 0.500], [0.500, 0.500, 0.000], [0.250, 0.750, 0.500], [0.490, 0.125, 0.250], [0.260, 0.625, 0.250], [0.375, 0.510, 0.750], [0.875, 0.740, 0.750]]
}



Most stable structure: arrangement Q